Entry 1:
PBE Sr2ZnP2N6, optimized geometry; crystal system = trigonal; VASP energy = -0.229 Ha/atom; ΔE_f (raw) = -0.284 eV/atom
1.0
-0.927 1.911 5.217
-0.793 -3.633 4.231
5.016 -0.618 4.159
P N Sr Zn
2 6 2 1
Direct
0.586 0.586 0.242
0.414 0.414 0.758
0.261 0.746 0.247
0.746 0.261 0.247
0.746 0.746 0.247
0.739 0.254 0.753
0.254 0.254 0.753
0.254 0.739 0.753
0.791 0.791 0.627
0.209 0.209 0.373
0.000 0.000 0.000


Entry 2:
PBE GePN2, optimized geometry; crystal system = tetragonal; VASP energy = -0.214 Ha/atom; ΔE_f (raw) = 0.857 eV/atom
1.0
5.052 0.000 0.000
0.000 5.052 0.000
2.526 2.526 3.994
Ge N P
2 4 2
Direct
0.000 0.000 0.000
0.750 0.250 0.500
0.375 0.321 0.750
0.071 0.625 0.250
0.875 0.929 0.750
0.679 0.125 0.250
0.250 0.750 0.500
0.500 0.500 0.000


Entry 3:
PBE Pm4Dy2Y, optimized geometry; crystal system = orthorhombic; ΔH_f (0 K) = 0.055 eV/atom; VASP energy = -0.180 Ha/atom
1.0
12.062 -3.083 -1.558
-9.438 8.118 -1.558
0.019 0.036 6.808
Pm Y Dy
8 2 4
Direct
0.562 0.600 0.137
0.041 0.150 0.606
0.713 0.176 0.864
0.150 0.041 0.106
0.600 0.562 0.637
0.176 0.713 0.364
0.794 0.185 0.395
0.185 0.794 0.895
0.673 0.423 0.000
0.423 0.673 0.500
0.101 0.920 0.550
0.920 0.101 0.050
0.621 0.301 0.450
0.301 0.621 0.950


Entry 4:
PBE K4PrNp3O12, optimized geometry; crystal system = cubic; VASP energy = -0.297 Ha/atom; ΔE_f (raw) = -2.699 eV/atom
1.0
7.530 0.000 0.000
-2.510 7.100 0.000
-2.510 -3.550 6.148
O Np K Pr
12 3 4 1
Direct
0.750 0.500 0.250
0.729 0.729 0.000
0.250 0.750 0.500
0.271 0.000 0.271
0.500 0.250 0.750
0.750 0.250 0.500
0.250 0.500 0.750
0.000 0.729 0.729
0.729 0.000 0.729
0.500 0.750 0.250
0.000 0.271 0.271
0.271 0.271 0.000
0.500 0.000 0.500
0.000 0.500 0.500
0.500 0.500 0.000
0.500 0.500 0.500
0.000 0.500 0.000
0.500 0.000 0.000
0.000 0.000 0.500
0.000 0.000 0.000


Q: Among the records above, which one has the highest VASP energy?
A: Pm4Dy2Y


What did the first record say?
PBE Sr2ZnP2N6, optimized geometry; crystal system = trigonal; VASP energy = -0.229 Ha/atom; ΔE_f (raw) = -0.284 eV/atom
1.0
-0.927 1.911 5.217
-0.793 -3.633 4.231
5.016 -0.618 4.159
P N Sr Zn
2 6 2 1
Direct
0.586 0.586 0.242
0.414 0.414 0.758
0.261 0.746 0.247
0.746 0.261 0.247
0.746 0.746 0.247
0.739 0.254 0.753
0.254 0.254 0.753
0.254 0.739 0.753
0.791 0.791 0.627
0.209 0.209 0.373
0.000 0.000 0.000


Q: Number 4 is which compound?
A: K4PrNp3O12